(1)
# HfGa3Pt

HfGa3Pt after structural relaxation (PBE, Alexandria).

a = 5.0737 Å, b = 5.0737 Å, c = 5.0737 Å
α = 90.00°, β = 90.00°, γ = 90.00°
Sites, in units of the cell vectors:
Hf1 0.0000 0.0000 0.0000
Ga1 0.0000 0.0000 0.5000
Ga2 0.0000 0.5000 0.0000
Ga3 0.5000 0.0000 0.0000
Pt1 0.5000 0.5000 0.5000

Polymorph energy (0 for the lowest one) ... 7.18 eV per formula unit
DFT total energy ... -4.01 eV per atom
Energy of formation from the pure elements ... 1.00 eV/atom


(2)
# HfGa2Pt

HfGa2Pt after structural relaxation (PBE, Alexandria).

a = 4.5678 Å, b = 4.5678 Å, c = 4.5678 Å
α = 60.00°, β = 60.00°, γ = 60.00°
Sites, in units of the cell vectors:
Hf1 0.0000 0.0000 0.0000
Ga1 0.2500 0.2500 0.2500
Ga2 0.7500 0.7500 0.7500
Pt1 0.5000 0.5000 0.5000

DFT total energy ... -5.92 eV per atom
Energy of formation from the pure elements ... -0.41 eV/atom


(3)
# Hf2GaPt

Hf2GaPt after structural relaxation (PBE, Alexandria).

a = 9.4014 Å, b = 9.4014 Å, c = 9.4014 Å
α = 152.10°, β = 152.10°, γ = 39.86°
Sites, in units of the cell vectors:
Hf1 0.1213 0.6250 0.9963
Hf2 0.3750 0.3713 0.4963
Hf3 0.6287 0.1250 0.0037
Hf4 0.8750 0.8787 0.5037
Ga1 0.0000 0.0000 0.0000
Ga2 0.7500 0.2500 0.5000
Pt1 0.2500 0.7500 0.5000
Pt2 0.5000 0.5000 0.0000

DFT total energy ... -7.27 eV per atom
Energy of formation from the pure elements ... -0.02 eV/atom


(4)
# HfGaPt3

HfGaPt3 after structural relaxation (PBE, Alexandria).

a = 4.6072 Å, b = 4.6072 Å, c = 4.6072 Å
α = 90.00°, β = 90.00°, γ = 90.00°
Sites, in units of the cell vectors:
Hf1 0.0000 0.0000 0.0000
Ga1 0.5000 0.5000 0.5000
Pt1 0.0000 0.5000 0.5000
Pt2 0.5000 0.0000 0.5000
Pt3 0.5000 0.5000 0.0000

Polymorph energy (0 for the lowest one) ... 4.92 eV per formula unit
DFT total energy ... -6.14 eV per atom
Energy of formation from the pure elements ... 0.08 eV/atom


(5)
# Hf4Ga2Pt

Hf4Ga2Pt after structural relaxation (PBE, Alexandria).

a = 7.7835 Å, b = 7.7835 Å, c = 7.7835 Å
α = 142.88°, β = 142.88°, γ = 53.50°
Sites, in units of the cell vectors:
Hf1 0.0000 0.5000 0.5000
Hf2 0.1887 0.1887 0.0000
Hf3 0.5000 0.0000 0.5000
Hf4 0.8113 0.8113 0.0000
Ga1 0.3812 0.3812 0.0000
Ga2 0.6188 0.6188 0.0000
Pt1 0.0000 0.0000 0.0000

DFT total energy ... -7.20 eV per atom
Energy of formation from the pure elements ... 0.22 eV/atom


(6)
# Hf3GaPt

Hf3GaPt after structural relaxation (PBE, Alexandria).

a = 5.0344 Å, b = 5.0344 Å, c = 5.0344 Å
α = 90.00°, β = 90.00°, γ = 90.00°
Sites, in units of the cell vectors:
Hf1 0.0000 0.0000 0.5000
Hf2 0.0000 0.5000 0.0000
Hf3 0.5000 0.0000 0.0000
Ga1 0.5000 0.5000 0.5000
Pt1 0.0000 0.0000 0.0000

Polymorph energy (0 for the lowest one) ... 0.00 eV per formula unit
DFT total energy ... -7.58 eV per atom
Energy of formation from the pure elements ... 0.20 eV/atom


(7)
# HfGaPt6

HfGaPt6 after structural relaxation (PBE, Alexandria).

a = 3.9978 Å, b = 3.9978 Å, c = 7.9482 Å
α = 90.00°, β = 90.00°, γ = 90.00°
Sites, in units of the cell vectors:
Hf1 0.0000 0.0000 0.0000
Ga1 0.0000 0.0000 0.5000
Pt1 0.0000 0.5000 0.2517
Pt2 0.0000 0.5000 0.7483
Pt3 0.5000 0.0000 0.2517
Pt4 0.5000 0.0000 0.7483
Pt5 0.5000 0.5000 0.0000
Pt6 0.5000 0.5000 0.5000

DFT total energy ... -6.96 eV per atom
Energy of formation from the pure elements ... -0.80 eV/atom


(8)
# HfGa2Pt2

HfGa2Pt2 after structural relaxation (PBE, Alexandria).

a = 7.6298 Å, b = 7.6298 Å, c = 2.8192 Å
α = 90.00°, β = 90.00°, γ = 90.00°
Sites, in units of the cell vectors:
Hf1 0.0000 0.0000 0.0000
Hf2 0.5000 0.5000 0.0000
Ga1 0.1290 0.3710 0.0000
Ga2 0.3710 0.8710 0.0000
Ga3 0.6290 0.1290 0.0000
Ga4 0.8710 0.6290 0.0000
Pt1 0.1689 0.6689 0.5000
Pt2 0.3311 0.1689 0.5000
Pt3 0.6689 0.8311 0.5000
Pt4 0.8311 0.3311 0.5000

DFT total energy ... -6.20 eV per atom
Energy of formation from the pure elements ... -0.58 eV/atom